Pm2Pr4Er: relaxed, PBE.

Structure (CIF):
```
data_Pm2Pr4Er
_space_group_name_H-M_alt 'R -3 m'
_space_group_IT_number 166
_space_group_name_Hall '-R 3 2"'
_cell_length_a 5.7941
_cell_length_b 5.7941
_cell_length_c 25.2600
_cell_angle_alpha 90.00
_cell_angle_beta 90.00
_cell_angle_gamma 120.00
loop_
_atom_site_label
_atom_site_type_symbol
_atom_site_fract_x
_atom_site_fract_y
_atom_site_fract_z
Pm1 Pm 0.0000 0.0000 0.1352
Pr1 Pr 0.0000 0.0000 0.2711
Pr2 Pr 0.0000 0.0000 0.4129
Er1 Er 0.0000 0.0000 0.0000
```

Relative energy among the computed polymorphs in meV/atom: 64
ΔH_f (0 K) in meV/atom: 124


LiMnCdAg2: relaxed, PBE.

Structure (CIF):
```
data_LiMnCdAg2
_space_group_name_H-M_alt 'P 4/m m m'
_space_group_IT_number 123
_space_group_name_Hall '-P 4 2'
_cell_length_a 4.974
_cell_length_b 4.974
_cell_length_c 4.776
_cell_angle_alpha 90.00
_cell_angle_beta 90.00
_cell_angle_gamma 90.00
loop_
_atom_site_label
_atom_site_type_symbol
_atom_site_fract_x
_atom_site_fract_y
_atom_site_fract_z
Li1 Li 0.000 0.000 0.000
Mn1 Mn 0.000 0.000 0.500
Cd1 Cd 0.500 0.500 0.000
Ag1 Ag 0.000 0.500 0.500
```

ΔH_f (0 K) in meV/atom: 693


TmPuMgAl: relaxed, PBE.

Structure (CIF):
```
data_TmPuMgAl
_space_group_name_H-M_alt 'F -4 3 m'
_space_group_IT_number 216
_space_group_name_Hall 'F -4 2 3'
_cell_length_a 7.305
_cell_length_b 7.305
_cell_length_c 7.305
_cell_angle_alpha 90.00
_cell_angle_beta 90.00
_cell_angle_gamma 90.00
loop_
_atom_site_label
_atom_site_type_symbol
_atom_site_fract_x
_atom_site_fract_y
_atom_site_fract_z
Tm1 Tm 0.000 0.000 0.000
Pu1 Pu 0.000 0.000 0.500
Mg1 Mg 0.250 0.250 0.750
Al1 Al 0.250 0.250 0.250
```

ΔH_f (0 K) in meV/atom: -83


Sb2AsRu: relaxed, PBE.

Structure (CIF):
```
data_Sb2AsRu
_space_group_name_H-M_alt 'I -4 m 2'
_space_group_IT_number 119
_space_group_name_Hall 'I -4 -2'
_cell_length_a 4.550
_cell_length_b 4.550
_cell_length_c 7.885
_cell_angle_alpha 90.00
_cell_angle_beta 90.00
_cell_angle_gamma 90.00
loop_
_atom_site_label
_atom_site_type_symbol
_atom_site_fract_x
_atom_site_fract_y
_atom_site_fract_z
Sb1 Sb 0.000 0.000 0.000
Sb2 Sb 0.000 0.500 0.250
As1 As 0.000 0.500 0.750
Ru1 Ru 0.000 0.000 0.500
```

E in eV per atom: -5.074


CeAlFe: relaxed, PBE.

Structure (CIF):
```
data_CeAlFe
_space_group_name_H-M_alt 'C m m e'
_space_group_IT_number 67
_space_group_name_Hall '-C 2a 2'
_cell_length_a 6.014
_cell_length_b 7.198
_cell_length_c 5.144
_cell_angle_alpha 90.00
_cell_angle_beta 90.00
_cell_angle_gamma 90.00
loop_
_atom_site_label
_atom_site_type_symbol
_atom_site_fract_x
_atom_site_fract_y
_atom_site_fract_z
Ce1 Ce 0.000 0.250 0.122
Al1 Al 0.250 0.000 0.500
Fe1 Fe 0.000 0.250 0.715
```

ΔH_f (0 K) in meV/atom: -399


LiZrCdTe2: relaxed, PBE.

Structure (CIF):
```
data_LiZrCdTe2
_space_group_name_H-M_alt 'P 4/m m m'
_space_group_IT_number 123
_space_group_name_Hall '-P 4 2'
_cell_length_a 5.618
_cell_length_b 5.618
_cell_length_c 4.474
_cell_angle_alpha 90.00
_cell_angle_beta 90.00
_cell_angle_gamma 90.00
loop_
_atom_site_label
_atom_site_type_symbol
_atom_site_fract_x
_atom_site_fract_y
_atom_site_fract_z
Li1 Li 0.000 0.000 0.000
Zr1 Zr 0.500 0.500 0.000
Cd1 Cd 0.000 0.000 0.500
Te1 Te 0.000 0.500 0.500
```

E in eV per atom: -3.177


CsK2HgPb: relaxed, PBE.

Structure (CIF):
```
data_CsK2HgPb
_space_group_name_H-M_alt 'P 4/m m m'
_space_group_IT_number 123
_space_group_name_Hall '-P 4 2'
_cell_length_a 6.944
_cell_length_b 6.944
_cell_length_c 6.007
_cell_angle_alpha 90.00
_cell_angle_beta 90.00
_cell_angle_gamma 90.00
loop_
_atom_site_label
_atom_site_type_symbol
_atom_site_fract_x
_atom_site_fract_y
_atom_site_fract_z
Cs1 Cs 0.000 0.000 0.000
K1 K 0.000 0.500 0.500
Hg1 Hg 0.500 0.500 0.000
Pb1 Pb 0.500 0.500 0.500
```

Relative energy among the computed polymorphs in meV/atom: 12
ΔH_f (0 K) in meV/atom: -39


MgSi3F: relaxed, PBE.

Structure (CIF):
```
data_MgSi3F
_space_group_name_H-M_alt 'P m -3 m'
_space_group_IT_number 221
_space_group_name_Hall '-P 4 2 3'
_cell_length_a 4.907
_cell_length_b 4.907
_cell_length_c 4.907
_cell_angle_alpha 90.00
_cell_angle_beta 90.00
_cell_angle_gamma 90.00
loop_
_atom_site_label
_atom_site_type_symbol
_atom_site_fract_x
_atom_site_fract_y
_atom_site_fract_z
Mg1 Mg 0.000 0.000 0.000
Si1 Si 0.000 0.000 0.500
F1 F 0.500 0.500 0.500
```

Relative energy among the computed polymorphs in meV/atom: 689


Zr4InO: relaxed, PBE.

Structure (CIF):
```
data_Zr4InO
_space_group_name_H-M_alt 'C 1 2/c 1'
_space_group_IT_number 15
_space_group_name_Hall '-C 2yc'
_cell_length_a 14.132
_cell_length_b 5.648
_cell_length_c 6.157
_cell_angle_alpha 90.00
_cell_angle_beta 106.00
_cell_angle_gamma 90.00
loop_
_atom_site_label
_atom_site_type_symbol
_atom_site_fract_x
_atom_site_fract_y
_atom_site_fract_z
Zr1 Zr 0.100 0.084 0.451
Zr2 Zr 0.197 0.414 0.151
In1 In 0.000 0.412 0.750
O1 O 0.250 0.250 0.500
```

E in eV per atom: -7.942


La2ScGeO: relaxed, PBE.

Structure (CIF):
```
data_La2ScGeO
_space_group_name_H-M_alt 'P 4/m m m'
_space_group_IT_number 123
_space_group_name_Hall '-P 4 2'
_cell_length_a 5.090
_cell_length_b 5.090
_cell_length_c 4.303
_cell_angle_alpha 90.00
_cell_angle_beta 90.00
_cell_angle_gamma 90.00
loop_
_atom_site_label
_atom_site_type_symbol
_atom_site_fract_x
_atom_site_fract_y
_atom_site_fract_z
La1 La 0.000 0.500 0.000
Sc1 Sc 0.000 0.000 0.500
Ge1 Ge 0.500 0.500 0.500
O1 O 0.000 0.000 0.000
```

E in eV per atom: -6.617


Te4Ir: relaxed, PBE.

Structure (CIF):
```
data_Te4Ir
_space_group_name_H-M_alt 'C 1 2/c 1'
_space_group_IT_number 15
_space_group_name_Hall '-C 2yc'
_cell_length_a 6.921
_cell_length_b 6.394
_cell_length_c 13.405
_cell_angle_alpha 90.00
_cell_angle_beta 90.49
_cell_angle_gamma 90.00
loop_
_atom_site_label
_atom_site_type_symbol
_atom_site_fract_x
_atom_site_fract_y
_atom_site_fract_z
Te1 Te 0.048 0.170 0.070
Te2 Te 0.162 0.363 0.679
Ir1 Ir 0.000 0.006 0.750
```

Relative energy among the computed polymorphs in meV/atom: 0


Tl2CuW: relaxed, PBE.

Structure (CIF):
```
data_Tl2CuW
_space_group_name_H-M_alt 'R -3 m'
_space_group_IT_number 166
_space_group_name_Hall '-R 3 2"'
_cell_length_a 3.0928
_cell_length_b 3.0928
_cell_length_c 28.1303
_cell_angle_alpha 90.00
_cell_angle_beta 90.00
_cell_angle_gamma 120.00
loop_
_atom_site_label
_atom_site_type_symbol
_atom_site_fract_x
_atom_site_fract_y
_atom_site_fract_z
Tl1 Tl 0.0000 0.0000 0.2455
Cu1 Cu 0.0000 0.0000 0.5000
W1 W 0.0000 0.0000 0.0000
```

Relative energy among the computed polymorphs in meV/atom: 150
ΔH_f (0 K) in meV/atom: 792


Number 1: DOS(E_F) 13.5 states/eV/f.u.. Number 2: DOS(E_F) 3.5 states/eV/f.u.. Number 3: DOS(E_F) 6.4 states/eV/f.u.. Number 4: DOS(E_F) 2.9 states/eV/f.u.. Number 5: DOS(E_F) 1.5 states/eV/f.u.. Number 6: DOS(E_F) 3.9 states/eV/f.u.. Number 7: DOS(E_F) 4.0 states/eV/f.u.. Number 8: DOS(E_F) 4.5 states/eV/f.u.. Number 9: DOS(E_F) 4.2 states/eV/f.u.. Number 10: DOS(E_F) 3.1 states/eV/f.u.. Number 11: DOS(E_F) 2.6 states/eV/f.u.. Number 12: DOS(E_F) 0.9 states/eV/f.u..